First-principles (GGA-PBE) data for Cd2PBr after structural relaxation, as listed in Alexandria via LeMat-Bulk.

Cell: 5.195 5.222 3.277 Å, 90.00 90.00 90.00°
Fractional positions:
Cd: 0.500 0.500 0.000
P: 0.500 0.000 0.500
Cd: 0.000 0.000 0.000
Br: 0.000 0.500 0.500

Calculated values
As for the space-group type: Pmmm. For the size of the total moment, the calculation gives 0.0 Bohr magnetons per cell. The uncorrected formation energy comes out at 148 meV per atom. The polymorph energy (0 for the lowest one) comes out at 527 meV per atom. The calculation puts the calculated density at 6.271 g/cm3.

***

First-principles (GGA-PBE) data for Cd2PBr after structural relaxation, as listed in Alexandria via LeMat-Bulk.

Cell: 6.927 6.927 4.782 Å, 70.66 70.66 25.97°
Fractional positions:
Cd: 0.445 0.445 0.551
P: 0.750 0.750 0.750
Br: 0.250 0.250 0.250
Cd: 0.055 0.055 0.949

Calculated values
As for the space-group type: C2/m. For the size of the total moment, the calculation gives 0.0 Bohr magnetons per cell. The uncorrected formation energy comes out at 316 meV per atom. The polymorph energy (0 for the lowest one) comes out at 694 meV per atom. The calculation puts the calculated density at 5.899 g/cm3.

***

First-principles (GGA-PBE) data for Cd2PBr after structural relaxation, as listed in Alexandria via LeMat-Bulk.

Cell: 7.552 5.757 3.320 Å, 70.59 93.84 132.47°
Fractional positions:
Cd: 0.000 0.000 0.000
P: 0.000 0.500 0.500
Br: 0.500 0.500 0.000
Cd: 0.500 0.000 0.500

Calculated values
As for the space-group type: C2/m. For the size of the total moment, the calculation gives 0.0 Bohr magnetons per cell. The uncorrected formation energy comes out at 42 meV per atom. The polymorph energy (0 for the lowest one) comes out at 420 meV per atom. The calculation puts the calculated density at 5.698 g/cm3.

***

First-principles (GGA-PBE) data for CdP2Br after structural relaxation, as listed in Alexandria via LeMat-Bulk.

Cell: 8.712 8.712 8.712 Å, 157.94 154.70 33.81°
Fractional positions:
Cd: 0.790 0.290 0.500
P: 0.196 0.696 0.500
P: 0.111 0.111 0.000
Br: 0.403 0.403 0.000

Calculated values
As for the space-group type: Imm2. For the size of the total moment, the calculation gives 0.0 Bohr magnetons per cell. The uncorrected formation energy comes out at -17 meV per atom. The polymorph energy (0 for the lowest one) comes out at 81 meV per atom. The calculation puts the calculated density at 3.983 g/cm3.

***

First-principles (GGA-PBE) data for Cd4P2Br5 after structural relaxation, as listed in Alexandria via LeMat-Bulk.

Cell: 3.615 7.210 13.512 Å, 105.47 97.69 90.00°
Fractional positions:
Cd: 0.655 0.655 0.309
Br: 0.500 0.000 0.000
Cd: 0.345 0.345 0.691
Br: 0.892 0.141 0.785
Br: 0.108 0.356 0.215
Cd: 0.000 0.304 0.000
Br: 0.892 0.644 0.785
Cd: 0.000 0.696 0.000
P: 0.248 0.248 0.496
P: 0.752 0.752 0.504
Br: 0.108 0.859 0.215

Calculated values
As for the space-group type: Immm. For the size of the total moment, the calculation gives 0.0 Bohr magnetons per cell. The uncorrected formation energy comes out at 5 meV per atom. The calculation puts the calculated density at 4.502 g/cm3.

***

First-principles (GGA-PBE) data for CdP2Br after structural relaxation, as listed in Alexandria via LeMat-Bulk.

Cell: 6.366 6.366 4.756 Å, 96.06 96.06 31.31°
Fractional positions:
Cd: 0.750 0.750 0.750
P: 0.968 0.968 0.860
P: 0.532 0.532 0.640
Br: 0.250 0.250 0.250

Calculated values
As for the space-group type: C2/m. For the size of the total moment, the calculation gives 0.0 Bohr magnetons per cell. The uncorrected formation energy comes out at -98 meV per atom. The polymorph energy (0 for the lowest one) comes out at 0 meV per atom. The calculation puts the calculated density at 4.241 g/cm3.

***

First-principles (GGA-PBE) data for CdP2Br after structural relaxation, as listed in Alexandria via LeMat-Bulk.

Cell: 3.358 3.358 8.980 Å, 90.00 90.00 90.00°
Fractional positions:
P: 0.000 0.000 0.115
Cd: 0.500 0.500 0.761
Br: 0.000 0.000 0.582
P: 0.500 0.500 0.041

Calculated values
As for the space-group type: P4mm. For the size of the total moment, the calculation gives 0.0 Bohr magnetons per cell. The uncorrected formation energy comes out at 15 meV per atom. The polymorph energy (0 for the lowest one) comes out at 113 meV per atom. The calculation puts the calculated density at 4.170 g/cm3.

***

First-principles (GGA-PBE) data for Cd2PBr after structural relaxation, as listed in Alexandria via LeMat-Bulk.

Cell: 3.684 3.464 7.442 Å, 90.01 90.00 90.00°
Fractional positions:
Br: 0.500 0.750 0.750
P: 0.500 0.250 0.250
Cd: 0.000 0.752 0.447
Cd: 0.000 0.748 0.053

Calculated values
As for the space-group type: P2/m. For the size of the total moment, the calculation gives 0.0 Bohr magnetons per cell. The uncorrected formation energy comes out at -26 meV per atom. The polymorph energy (0 for the lowest one) comes out at 352 meV per atom. The calculation puts the calculated density at 5.869 g/cm3.

***

First-principles (GGA-PBE) data for CdP2Br after structural relaxation, as listed in Alexandria via LeMat-Bulk.

Cell: 4.838 4.838 4.838 Å, 60.00 60.00 60.00°
Fractional positions:
P: 0.750 0.750 0.750
Cd: 0.500 0.500 0.500
P: 0.250 0.250 0.250
Br: 0.000 0.000 0.000

Calculated values
As for the space-group type: Fm-3m. For the size of the total moment, the calculation gives 0.0 Bohr magnetons per cell. The uncorrected formation energy comes out at 827 meV per atom. The polymorph energy (0 for the lowest one) comes out at 925 meV per atom. The calculation puts the calculated density at 5.274 g/cm3.

***

First-principles (GGA-PBE) data for CdP2Br after structural relaxation, as listed in Alexandria via LeMat-Bulk.

Cell: 7.256 7.256 7.256 Å, 150.32 150.32 42.48°
Fractional positions:
P: 0.000 0.000 0.000
P: 0.500 0.500 0.000
Br: 0.250 0.750 0.500
Cd: 0.750 0.250 0.500

Calculated values
As for the space-group type: I4/mmm. For the size of the total moment, the calculation gives 0.0 Bohr magnetons per cell. The uncorrected formation energy comes out at 455 meV per atom. The polymorph energy (0 for the lowest one) comes out at 553 meV per atom. The calculation puts the calculated density at 4.518 g/cm3.

***

First-principles (GGA-PBE) data for CdP2Br after structural relaxation, as listed in Alexandria via LeMat-Bulk.

Cell: 12.016 12.016 12.016 Å, 14.44 14.44 14.44°
Fractional positions:
P: 0.478 0.478 0.478
Br: 0.250 0.250 0.250
P: 0.022 0.022 0.022
Cd: 0.750 0.750 0.750

Calculated values
As for the space-group type: R-3m. For the size of the total moment, the calculation gives 0.0 Bohr magnetons per cell. The uncorrected formation energy comes out at 712 meV per atom. The polymorph energy (0 for the lowest one) comes out at 810 meV per atom. The calculation puts the calculated density at 4.493 g/cm3.

***

First-principles (GGA-PBE) data for CdP2Br after structural relaxation, as listed in Alexandria via LeMat-Bulk.

Cell: 5.064 5.064 3.117 Å, 90.00 90.00 90.00°
Fractional positions:
P: 0.500 0.500 0.000
Cd: 0.000 0.500 0.500
Br: 0.500 0.000 0.500
P: 0.000 0.000 0.000

Calculated values
As for the space-group type: P4/mmm. For the size of the total moment, the calculation gives 0.0 Bohr magnetons per cell. The uncorrected formation energy comes out at 760 meV per atom. The polymorph energy (0 for the lowest one) comes out at 858 meV per atom. The calculation puts the calculated density at 5.283 g/cm3.

***

First-principles (GGA-PBE) data for CdP2Br after structural relaxation, as listed in Alexandria via LeMat-Bulk.

Cell: 4.053 4.053 5.862 Å, 90.00 90.00 90.00°
Fractional positions:
P: 0.000 0.000 0.576
Br: 0.500 0.500 0.250
Cd: 0.500 0.500 0.750
P: 0.000 0.000 0.924

Calculated values
As for the space-group type: P4/mmm. For the size of the total moment, the calculation gives 0.0 Bohr magnetons per cell. The uncorrected formation energy comes out at 277 meV per atom. The polymorph energy (0 for the lowest one) comes out at 375 meV per atom. The calculation puts the calculated density at 4.386 g/cm3.

***

First-principles (GGA-PBE) data for Cd2PBr after structural relaxation, as listed in Alexandria via LeMat-Bulk.

Cell: 5.764 5.764 5.764 Å, 140.80 97.81 95.12°
Fractional positions:
P: 0.750 0.250 0.500
Br: 0.250 0.750 0.500
Cd: 0.971 0.971 0.000
Cd: 0.529 0.529 0.000

Calculated values
As for the space-group type: Immm. For the size of the total moment, the calculation gives 0.0 Bohr magnetons per cell. The uncorrected formation energy comes out at 58 meV per atom. The polymorph energy (0 for the lowest one) comes out at 437 meV per atom. The calculation puts the calculated density at 4.891 g/cm3.

***

First-principles (GGA-PBE) data for Cd2PBr after structural relaxation, as listed in Alexandria via LeMat-Bulk.

Cell: 7.216 7.216 7.216 Å, 148.51 148.51 45.13°
Fractional positions:
Cd: 0.250 0.750 0.500
Br: 0.750 0.250 0.500
P: 0.500 0.500 0.000
Cd: 0.000 0.000 0.000

Calculated values
As for the space-group type: I-4m2. For the size of the total moment, the calculation gives 0.1 Bohr magnetons per cell. The uncorrected formation energy comes out at 198 meV per atom. The polymorph energy (0 for the lowest one) comes out at 576 meV per atom. The calculation puts the calculated density at 5.454 g/cm3.

***

First-principles (GGA-PBE) data for Cd2PBr after structural relaxation, as listed in Alexandria via LeMat-Bulk.

Cell: 5.026 5.026 5.026 Å, 60.00 60.00 60.00°
Fractional positions:
P: 0.000 0.000 0.000
Cd: 0.250 0.250 0.250
Cd: 0.750 0.750 0.750
Br: 0.500 0.500 0.500

Calculated values
As for the space-group type: Fm-3m. For the size of the total moment, the calculation gives 0.0 Bohr magnetons per cell. The uncorrected formation energy comes out at 221 meV per atom. The polymorph energy (0 for the lowest one) comes out at 599 meV per atom. The calculation puts the calculated density at 6.208 g/cm3.

***

First-principles (GGA-PBE) data for Cd3PBr after structural relaxation, as listed in Alexandria via LeMat-Bulk.

Cell: 5.265 5.265 5.265 Å, 90.00 90.00 90.00°
Fractional positions:
P: 0.000 0.000 0.000
Cd: 0.000 0.500 0.000
Cd: 0.500 0.000 0.000
Br: 0.500 0.500 0.500
Cd: 0.000 0.000 0.500

Calculated values
As for the space-group type: Pm-3m. For the size of the total moment, the calculation gives 0.0 Bohr magnetons per cell. The uncorrected formation energy comes out at -45 meV per atom. The polymorph energy (0 for the lowest one) comes out at 0 meV per atom. The calculation puts the calculated density at 5.100 g/cm3.

***

First-principles (GGA-PBE) data for CdP2Br after structural relaxation, as listed in Alexandria via LeMat-Bulk.

Cell: 3.420 5.499 5.498 Å, 58.59 90.00 90.00°
Fractional positions:
Br: 0.000 0.508 0.508
P: 0.500 0.188 0.188
P: 0.000 0.034 0.034
Cd: 0.500 0.769 0.770

Calculated values
As for the space-group type: Amm2. For the size of the total moment, the calculation gives 0.0 Bohr magnetons per cell. The uncorrected formation energy comes out at 32 meV per atom. The polymorph energy (0 for the lowest one) comes out at 131 meV per atom. The calculation puts the calculated density at 4.785 g/cm3.

***

First-principles (GGA-PBE) data for CdP2Br after structural relaxation, as listed in Alexandria via LeMat-Bulk.

Cell: 3.586 3.586 8.945 Å, 82.19 82.19 58.22°
Fractional positions:
Cd: 0.765 0.765 0.772
P: 0.947 0.947 0.150
Br: 0.492 0.492 0.561
P: 0.295 0.295 0.018

Calculated values
As for the space-group type: Cm. For the size of the total moment, the calculation gives 0.0 Bohr magnetons per cell. The uncorrected formation energy comes out at -39 meV per atom. The polymorph energy (0 for the lowest one) comes out at 59 meV per atom. The calculation puts the calculated density at 4.371 g/cm3.

***

First-principles (GGA-PBE) data for Cd2PBr after structural relaxation, as listed in Alexandria via LeMat-Bulk.

Cell: 3.777 3.777 7.731 Å, 90.00 90.00 114.55°
Fractional positions:
P: 0.500 0.500 0.250
Cd: 0.000 0.000 0.465
Br: 0.500 0.500 0.750
Cd: 0.000 0.000 0.035

Calculated values
As for the space-group type: Cmmm. For the size of the total moment, the calculation gives 0.0 Bohr magnetons per cell. The uncorrected formation energy comes out at 14 meV per atom. The polymorph energy (0 for the lowest one) comes out at 392 meV per atom. The calculation puts the calculated density at 5.556 g/cm3.

***

| no. | DFT total energy (eV/atom) | calculated volume (Å³/atom) | DOS at the Fermi energy (states/eV/cell) |
| --- | --- | --- | --- |
| 1 | -2.08 | 22.2 | 1.35 |
| 2 | -1.91 | 23.6 | 2.46 |
| 3 | -2.19 | 24.5 | 0.59 |
| 4 | -3.37 | 26.5 | 0.69 |
| 5 | -2.07 | 30.6 | 4.15 |
| 6 | -3.45 | 24.9 | 1.30 |
| 7 | -3.34 | 25.3 | 1.78 |
| 8 | -2.25 | 23.7 | 1.14 |
| 9 | -2.53 | 20.0 | 2.60 |
| 10 | -2.90 | 23.4 | 2.92 |
| 11 | -2.64 | 23.5 | 5.24 |
| 12 | -2.59 | 20.0 | 1.52 |
| 13 | -3.08 | 24.1 | 1.93 |
| 14 | -2.17 | 28.5 | 2.35 |
| 15 | -2.03 | 25.6 | 2.82 |
| 16 | -2.01 | 22.4 | 0.76 |
| 17 | -2.01 | 29.2 | 1.19 |
| 18 | -3.32 | 22.1 | 1.66 |
| 19 | -3.39 | 24.1 | 2.07 |
| 20 | -2.21 | 25.1 | 1.35 |